1.
Crystalline Tm5CdIn at its relaxed geometry. Source: Alexandria, functional PBE.

Summary:
* density: 8.96 g/cm3
* D(E_F): 14.653 states/eV/cell
* calculated formation energy: -0.055 eV/atom
* total magnetization: 0.0 μB per formula unit
* E: -26.40 eV/f.u.

Unit cell a=6.0368 b=6.0368 c=11.3042 alpha=100.23 beta=100.23 gamma=92.96
Element x y z (fractional)
1 Tm 0.0089 0.5791 0.1540
2 Tm 0.1177 0.8823 0.7500
3 Tm 0.2395 0.5283 0.4651
4 Tm 0.4209 0.9911 0.3460
5 Tm 0.4717 0.7605 0.0349
6 Tm 0.5283 0.2395 0.9651
7 Tm 0.5791 0.0089 0.6540
8 Tm 0.7605 0.4717 0.5349
9 Tm 0.8823 0.1177 0.2500
10 Tm 0.9911 0.4209 0.8460
11 Cd 0.0000 0.0000 0.0000
12 Cd 0.0000 0.0000 0.5000
13 In 0.4732 0.5268 0.7500
14 In 0.5268 0.4732 0.2500

=====

2.
Crystalline LaAlCd at its relaxed geometry. Source: Alexandria, functional PBE.

Summary:
* density: 5.57 g/cm3
* D(E_F): 12.343 states/eV/cell
* calculated formation energy: -0.370 eV/atom
* total magnetization: 0.0 μB per formula unit
* E: -10.69 eV/f.u.

Unit cell a=17.1322 b=4.6960 c=4.2564 alpha=90.00 beta=104.33 gamma=90.00
Element x y z (fractional)
1 La 0.1078 0.0000 0.3574
2 La 0.3922 0.5000 0.6426
3 La 0.6078 0.5000 0.3574
4 La 0.8922 0.0000 0.6426
5 Al 0.0417 0.5000 0.7915
6 Al 0.4583 0.0000 0.2085
7 Al 0.5417 0.0000 0.7915
8 Al 0.9583 0.5000 0.2085
9 Cd 0.2045 0.5000 0.9540
10 Cd 0.2955 0.0000 0.0460
11 Cd 0.7045 0.0000 0.9540
12 Cd 0.7955 0.5000 0.0460

=====

3.
Crystalline SrCdIO2 at its relaxed geometry. Source: Alexandria, functional PBE.

Summary:
* energy relative to the elements, uncorrected: -0.755 eV/atom
* density: 5.09 g/cm3
* D(E_F): 2.761 states/eV/cell
* excess energy over the best structure of this formula in the dataset: 0.000 eV/atom
* total magnetization: 0.9 μB per formula unit
* E: -17.84 eV/f.u.

Unit cell a=4.5308 b=4.5308 c=5.7075 alpha=90.00 beta=90.00 gamma=90.00
Element x y z (fractional)
1 Sr 0.0000 0.0000 0.0000
2 Cd 0.5000 0.5000 0.5000
3 I 0.5000 0.5000 0.0000
4 O 0.0000 0.5000 0.5000
5 O 0.5000 0.0000 0.5000

=====

4.
Crystalline LiScSN2 at its relaxed geometry. Source: Alexandria, functional PBE.

Summary:
* energy relative to the elements, uncorrected: 0.577 eV/atom
* density: 3.09 g/cm3
* D(E_F): 3.529 states/eV/cell
* excess energy over the best structure of this formula in the dataset: 0.298 eV/atom
* total magnetization: 0.0 μB per formula unit
* E: -26.14 eV/f.u.

Unit cell a=3.6933 b=3.6933 c=4.4065 alpha=90.00 beta=90.00 gamma=90.00
Element x y z (fractional)
1 Li 0.0000 0.0000 0.0000
2 Sc 0.5000 0.5000 0.5000
3 S 0.0000 0.0000 0.5000
4 N 0.0000 0.5000 0.0000
5 N 0.5000 0.0000 0.0000

=====

5.
Crystalline SmEuHgIr at its relaxed geometry. Source: Alexandria, functional PBE.

Summary:
* density: 11.90 g/cm3
* D(E_F): 31.418 states/eV/cell
* calculated formation energy: -0.437 eV/atom
* total magnetization: 6.9 μB per formula unit
* E: -25.91 eV/f.u.

Unit cell a=7.2935 b=7.2935 c=7.2935 alpha=90.00 beta=90.00 gamma=90.00
Element x y z (fractional)
1 Sm 0.0000 0.0000 0.0000
2 Sm 0.0000 0.5000 0.5000
3 Sm 0.5000 0.0000 0.5000
4 Sm 0.5000 0.5000 0.0000
5 Eu 0.0000 0.0000 0.5000
6 Eu 0.0000 0.5000 0.0000
7 Eu 0.5000 0.0000 0.0000
8 Eu 0.5000 0.5000 0.5000
9 Hg 0.2500 0.2500 0.7500
10 Hg 0.2500 0.7500 0.2500
11 Hg 0.7500 0.2500 0.2500
12 Hg 0.7500 0.7500 0.7500
13 Ir 0.2500 0.2500 0.2500
14 Ir 0.2500 0.7500 0.7500
15 Ir 0.7500 0.2500 0.7500
16 Ir 0.7500 0.7500 0.2500

=====

6.
Crystalline PmYSb at its relaxed geometry. Source: Alexandria, functional PBE.

Summary:
* energy relative to the elements, uncorrected: -0.656 eV/atom
* density: 6.82 g/cm3
* D(E_F): 5.805 states/eV/cell
* excess energy over the best structure of this formula in the dataset: 0.194 eV/atom
* total magnetization: 0.8 μB per formula unit
* E: -17.31 eV/f.u.

Unit cell a=4.0525 b=4.0525 c=10.5535 alpha=90.00 beta=90.00 gamma=90.00
Element x y z (fractional)
1 Pm 0.0000 0.0000 0.0000
2 Pm 0.5000 0.5000 0.5000
3 Y 0.0000 0.0000 0.3074
4 Y 0.5000 0.5000 0.8074
5 Sb 0.0000 0.0000 0.6617
6 Sb 0.5000 0.5000 0.1617

=====

7.
Crystalline NdDyGaCu at its relaxed geometry. Source: Alexandria, functional PBE.

Summary:
* density: 7.84 g/cm3
* D(E_F): 15.245 states/eV/cell
* calculated formation energy: -0.368 eV/atom
* total magnetization: 0.0 μB per formula unit
* E: -17.97 eV/f.u.

Unit cell a=7.1980 b=7.1980 c=7.1980 alpha=90.00 beta=90.00 gamma=90.00
Element x y z (fractional)
1 Nd 0.0000 0.0000 0.0000
2 Nd 0.0000 0.5000 0.5000
3 Nd 0.5000 0.0000 0.5000
4 Nd 0.5000 0.5000 0.0000
5 Dy 0.0000 0.0000 0.5000
6 Dy 0.0000 0.5000 0.0000
7 Dy 0.5000 0.0000 0.0000
8 Dy 0.5000 0.5000 0.5000
9 Ga 0.2500 0.2500 0.2500
10 Ga 0.2500 0.7500 0.7500
11 Ga 0.7500 0.2500 0.7500
12 Ga 0.7500 0.7500 0.2500
13 Cu 0.2500 0.2500 0.7500
14 Cu 0.2500 0.7500 0.2500
15 Cu 0.7500 0.2500 0.2500
16 Cu 0.7500 0.7500 0.7500

=====

8.
Crystalline La12Nd7Pb at its relaxed geometry. Source: Alexandria, functional PBE.

Summary:
* density: 6.70 g/cm3
* D(E_F): 28.782 states/eV/cell
* calculated formation energy: -0.017 eV/atom
* total magnetization: 0.0 μB per formula unit
* E: -96.55 eV/f.u.

Unit cell a=6.8798 b=9.7297 c=11.8953 alpha=68.80 beta=75.28 gamma=89.96
Element x y z (fractional)
1 La 0.0518 0.0089 0.1290
2 La 0.2392 0.8281 0.4036
3 La 0.2446 0.4331 0.5179
4 La 0.2834 0.0516 0.5853
5 La 0.3348 0.2709 0.8486
6 La 0.4253 0.8826 0.9029
7 La 0.5747 0.1174 0.0971
8 La 0.6652 0.7291 0.1514
9 La 0.7166 0.9484 0.4148
10 La 0.7554 0.5669 0.4821
11 La 0.7608 0.1719 0.5964
12 La 0.9482 0.9911 0.8710
13 Nd 0.0000 0.5000 0.0000
14 Nd 0.1435 0.6061 0.2178
15 Nd 0.1491 0.2342 0.2818
16 Nd 0.3576 0.6524 0.7049
17 Nd 0.6424 0.3476 0.2951
18 Nd 0.8509 0.7658 0.7182
19 Nd 0.8565 0.3939 0.7822
20 Pb 0.5000 0.5000 0.0000

=====

9.
Crystalline TcSbCl2 at its relaxed geometry. Source: Alexandria, functional PBE.

Summary:
* energy relative to the elements, uncorrected: 0.210 eV/atom
* density: 5.25 g/cm3
* D(E_F): 5.961 states/eV/cell
* excess energy over the best structure of this formula in the dataset: 0.433 eV/atom
* total magnetization: 0.0 μB per formula unit
* E: -17.34 eV/f.u.

Unit cell a=3.3610 b=5.7605 c=9.4949 alpha=90.00 beta=90.00 gamma=90.00
Element x y z (fractional)
1 Tc 0.0000 0.0000 0.0000
2 Tc 0.5000 0.5000 0.0000
3 Sb 0.0000 0.5000 0.2171
4 Sb 0.5000 0.0000 0.2171
5 Cl 0.0000 0.0000 0.4464
6 Cl 0.0000 0.5000 0.8138
7 Cl 0.5000 0.0000 0.8138
8 Cl 0.5000 0.5000 0.4464

=====

10.
Crystalline Dy5Sb2Ir at its relaxed geometry. Source: Alexandria, functional PBE.

Summary:
* energy relative to the elements, uncorrected: -0.548 eV/atom
* density: 9.49 g/cm3
* D(E_F): 10.952 states/eV/cell
* total magnetization: 0.0 μB per formula unit
* E: -44.50 eV/f.u.

Unit cell a=5.4961 b=5.4961 c=16.1157 alpha=90.00 beta=90.00 gamma=116.19
Element x y z (fractional)
1 Dy 0.0668 0.9332 0.5962
2 Dy 0.0668 0.9332 0.9038
3 Dy 0.2488 0.7512 0.2500
4 Dy 0.4031 0.5969 0.6358
5 Dy 0.4031 0.5969 0.8642
6 Dy 0.5969 0.4031 0.1358
7 Dy 0.5969 0.4031 0.3642
8 Dy 0.7512 0.2488 0.7500
9 Dy 0.9332 0.0668 0.0962
10 Dy 0.9332 0.0668 0.4038
11 Sb 0.2777 0.7223 0.0588
12 Sb 0.2777 0.7223 0.4412
13 Sb 0.7223 0.2777 0.5588
14 Sb 0.7223 0.2777 0.9412
15 Ir 0.1709 0.8291 0.7500
16 Ir 0.8291 0.1709 0.2500

=====

11.
Crystalline Ho3Co2Ag2 at its relaxed geometry. Source: Alexandria, functional PBE.

Summary:
* density: 9.48 g/cm3
* D(E_F): 14.352 states/eV/cell
* calculated formation energy: -0.251 eV/atom
* total magnetization: 1.3 μB per formula unit
* E: -35.41 eV/f.u.

Unit cell a=3.7714 b=20.2564 c=3.7982 alpha=90.00 beta=90.00 gamma=90.00
Element x y z (fractional)
1 Ho 0.0000 0.0000 0.0000
2 Ho 0.0000 0.1732 0.0000
3 Ho 0.0000 0.8268 0.0000
4 Ho 0.5000 0.3268 0.0000
5 Ho 0.5000 0.5000 0.0000
6 Ho 0.5000 0.6732 0.0000
7 Co 0.0000 0.2797 0.5000
8 Co 0.0000 0.7203 0.5000
9 Co 0.5000 0.2203 0.5000
10 Co 0.5000 0.7797 0.5000
11 Ag 0.0000 0.4197 0.5000
12 Ag 0.0000 0.5803 0.5000
13 Ag 0.5000 0.0803 0.5000
14 Ag 0.5000 0.9197 0.5000

=====

12.
Crystalline La2Be3ZnGe4 at its relaxed geometry. Source: Alexandria, functional PBE.

Summary:
* density: 6.19 g/cm3
* D(E_F): 2.453 states/eV/cell
* calculated formation energy: -0.410 eV/atom
* total magnetization: 0.0 μB per formula unit
* E: -44.88 eV/f.u.

Unit cell a=4.2751 b=4.2751 c=9.6924 alpha=90.00 beta=90.00 gamma=90.00
Element x y z (fractional)
1 La 0.0000 0.5000 0.2437
2 La 0.5000 0.0000 0.7563
3 Be 0.0000 0.5000 0.8811
4 Be 0.5000 0.0000 0.1189
5 Be 0.5000 0.5000 0.5000
6 Zn 0.0000 0.0000 0.5000
7 Ge 0.0000 0.0000 0.0000
8 Ge 0.0000 0.5000 0.6401
9 Ge 0.5000 0.0000 0.3599
10 Ge 0.5000 0.5000 0.0000